(1)
This record from the Alexandria database describes GaBiPb after structural relaxation. The functional is PBE-GGA.

The structure in POSCAR format:
```
GaBiPb
1.0
-1.812 1.812 6.315
1.812 -1.812 6.315
1.812 1.812 -6.315
Ga Bi Pb
1 1 1
direct
0.000 0.000 0.000
0.348 0.348 0.000
0.652 0.652 0.000
```

Calculated values
Calculated formation energy: 0.068 eV/atom
Volume: 83.0 Å³ per cell
Energy above the lowest structure with this stoichiometry: 8 meV/atom

(2)
This record from the Alexandria database describes DyLuZnGa after structural relaxation. The functional is PBE-GGA.

The structure in POSCAR format:
```
DyLuZnGa
1.0
0.000 3.532 3.532
3.532 0.000 3.532
3.532 3.532 0.000
Dy Lu Zn Ga
1 1 1 1
direct
0.000 0.000 0.000
0.500 0.500 0.500
0.750 0.750 0.750
0.250 0.250 0.250
```

Calculated values
Calculated formation energy: -0.471 eV/atom
Volume: 88.1 Å³ per cell

(3)
This record from the Alexandria database describes ScTlTe2 after structural relaxation. The functional is PBE-GGA.

The structure in POSCAR format:
```
ScTlTe2
1.0
2.148 1.240 8.400
-2.148 1.240 8.400
0.000 -2.481 8.400
Sc Tl Te
1 1 2
direct
0.000 0.000 0.000
0.256 0.256 0.256
0.526 0.526 0.526
0.723 0.723 0.723
```

Calculated values
Volume: 134.3 Å³ per cell
Uncorrected formation energy: -0.49 eV per atom

(4)
This record from the Alexandria database describes ScRh after structural relaxation. The functional is PBE-GGA.

The structure in POSCAR format:
```
ScRh
1.0
8.779 0.000 0.000
-4.389 7.603 0.000
0.000 0.000 3.919
Sc Rh
6 6
direct
0.206 0.411 0.250
0.206 0.794 0.250
0.411 0.206 0.750
0.589 0.794 0.250
0.794 0.206 0.750
0.794 0.589 0.750
0.129 0.564 0.750
0.436 0.564 0.750
0.436 0.871 0.750
0.564 0.129 0.250
0.564 0.436 0.250
0.871 0.436 0.250
```

Calculated values
Calculated formation energy: -0.603 eV/atom
Volume: 261.6 Å³ per cell

(5)
This record from the Alexandria database describes Er4Si6Ru7 after structural relaxation. The functional is PBE-GGA.

The structure in POSCAR format:
```
Er4Si6Ru7
1.0
-4.108 4.108 4.108
4.108 -4.108 4.108
4.108 4.108 -4.108
Er Si Ru
4 6 7
direct
0.000 0.000 0.500
0.000 0.500 0.000
0.500 0.000 0.000
0.500 0.500 0.500
0.000 0.320 0.320
0.000 0.680 0.680
0.320 0.000 0.320
0.320 0.320 0.000
0.680 0.000 0.680
0.680 0.680 0.000
0.000 0.000 0.000
0.250 0.500 0.750
0.250 0.750 0.500
0.500 0.250 0.750
0.500 0.750 0.250
0.750 0.250 0.500
0.750 0.500 0.250
```

Calculated values
Volume: 277.4 Å³ per cell
Uncorrected formation energy: -0.73 eV per atom

(6)
This record from the Alexandria database describes La2GeSe5 after structural relaxation. The functional is PBE-GGA.

The structure in POSCAR format:
```
La2GeSe5
1.0
2.951 -7.584 0.000
2.951 7.584 0.000
0.000 0.000 13.256
La Ge Se
4 2 10
direct
0.167 0.833 0.576
0.167 0.833 0.924
0.833 0.167 0.076
0.833 0.167 0.424
0.193 0.807 0.250
0.807 0.193 0.750
0.028 0.972 0.087
0.028 0.972 0.413
0.287 0.713 0.750
0.297 0.703 0.096
0.297 0.703 0.404
0.703 0.297 0.596
0.703 0.297 0.904
0.713 0.287 0.250
0.972 0.028 0.587
0.972 0.028 0.913
```

Calculated values
Volume: 593.5 Å³ per cell
Uncorrected formation energy: -1.19 eV per atom

(7)
This record from the Alexandria database describes BaMg6 after structural relaxation. The functional is PBE-GGA.

The structure in POSCAR format:
```
BaMg6
1.0
6.918 0.000 0.000
0.000 6.918 0.000
0.000 0.000 6.918
Ba Mg
1 6
direct
0.000 0.000 0.000
0.197 0.500 0.500
0.500 0.197 0.500
0.500 0.500 0.197
0.500 0.500 0.803
0.500 0.803 0.500
0.803 0.500 0.500
```

Calculated values
Calculated formation energy: 0.578 eV/atom
Volume: 331.1 Å³ per cell
Energy above the lowest structure with this stoichiometry: 623 meV/atom

(8)
This record from the Alexandria database describes Tb2Ga2SnRh5 after structural relaxation. The functional is PBE-GGA.

The structure in POSCAR format:
```
Tb2Ga2SnRh5
1.0
9.830 0.000 0.000
0.000 9.830 0.000
0.000 0.000 3.610
Tb Ga Sn Rh
4 4 2 10
direct
0.174 0.326 0.000
0.326 0.826 0.000
0.674 0.174 0.000
0.826 0.674 0.000
0.123 0.623 0.000
0.377 0.123 0.000
0.623 0.877 0.000
0.877 0.377 0.000
0.000 0.000 0.000
0.500 0.500 0.000
0.000 0.500 0.500
0.069 0.793 0.500
0.207 0.069 0.500
0.293 0.569 0.500
0.431 0.293 0.500
0.500 0.000 0.500
0.569 0.707 0.500
0.707 0.431 0.500
0.793 0.931 0.500
0.931 0.207 0.500
```

Calculated values
Calculated formation energy: -0.833 eV/atom
Volume: 348.8 Å³ per cell

no.,total energy (eV per atom)
1,-3.470
2,-3.827
3,-4.231
4,-7.445
5,-7.537
6,-5.173
7,-1.063
8,-6.440